Material: MgMn2Cd2
Method: DFT, GGA-PBE
State: optimized geometry

Summary:
Crystal system: tetragonal
Polymorph energy (0 for the lowest one) (meV per atom): 15
E_tot (eV/atom): -4.045
Formation energy (eV/atom): 0.31
Volume (Å³ per atom): 19.4
Space group: No. 127
Total magnetic moment (μB per atom): 1.505

Lattice parameters (Å, degrees): 7.8556 7.8556 3.1377 90.00 90.00 90.00
Fractional coordinates of all 10 atoms:
1 Mg 0.0000 0.0000 0.0000
2 Mg 0.5000 0.5000 0.0000
3 Mn 0.1220 0.3780 0.0000
4 Mn 0.3780 0.8780 0.0000
5 Mn 0.6220 0.1220 0.0000
6 Mn 0.8780 0.6220 0.0000
7 Cd 0.1747 0.6747 0.5000
8 Cd 0.3253 0.1747 0.5000
9 Cd 0.6747 0.8253 0.5000
10 Cd 0.8253 0.3253 0.5000